VASP calculation (PBE with a Hubbard U) on an optimized crystal structure of Li4VTe3O12.

```
Li4VTe3O12
1.0
5.2226 0.0000 0.0000
-0.0002 5.6439 0.0000
-0.0118 -0.7606 7.6302
Li V Te O
4 1 3 12
direct
0.0000 0.0000 0.0000
0.0050 0.9787 0.5304
0.5052 0.5122 0.0022
0.5136 0.5087 0.5264
0.5043 0.9366 0.7929
0.0082 0.4171 0.3020
0.5103 0.9210 0.2967
0.9990 0.4521 0.8005
0.1446 0.4069 0.5391
0.1830 0.0963 0.2440
0.1967 0.7289 0.8779
0.3191 0.5917 0.2418
0.3512 0.1869 0.8852
0.3745 0.8966 0.5651
0.6401 0.8770 0.0625
0.6661 0.5852 0.7622
0.7128 0.2187 0.3880
0.8037 0.0416 0.7484
0.8076 0.7065 0.3874
0.8694 0.3848 0.0686
```

Space group ... P1
Density ... 4.82 Mg/m³
Magnetic moment ... 0.00 μB/f.u.
E above lowest polymorph ... 52.3 meV per atom